(i)
Density functional theory data (PBE-GGA) for an optimized crystal structure of TbDyAu.

## Properties
Magnetization in μB per formula unit: 0.0

Lattice parameters (Å, degrees): 4.8512 4.8512 4.8512 60.00 60.00 60.00
Sites, in units of the cell vectors:
Au 0.2500 0.2500 0.2500
Tb 0.7500 0.7500 0.7500
Dy 0.0000 0.0000 0.0000

***

(ii)
Density functional theory data (PBE-GGA) for an optimized crystal structure of TbDyAu.

## Properties
Magnetization in μB per formula unit: 0.0

Lattice parameters (Å, degrees): 7.1050 4.9656 8.9426 90.00 90.00 90.00
Sites, in units of the cell vectors:
Tb 0.0120 0.2500 0.8235
Dy 0.3504 0.7500 0.9182
Tb 0.4880 0.7500 0.3235
Au 0.7428 0.2500 0.4023
Dy 0.6496 0.2500 0.0818
Au 0.2428 0.2500 0.0977
Tb 0.9880 0.7500 0.1765
Dy 0.1496 0.2500 0.4182
Tb 0.5120 0.2500 0.6765
Au 0.7572 0.7500 0.9023
Au 0.2572 0.7500 0.5977
Dy 0.8504 0.7500 0.5818

***

Quick one: most stable of them? (ii)

***

(i)
Density functional theory data (PBE-GGA) for an optimized crystal structure of Dy2Te3Au.

## Properties
Magnetization in μB per formula unit: 0.0

Lattice parameters (Å, degrees): 8.3616 4.1979 19.1606 90.00 90.00 90.00
Sites, in units of the cell vectors:
Dy 0.2891 0.7500 0.5027
Te 0.3405 0.2500 0.3863
Te 0.9496 0.7500 0.4188
Te 0.1629 0.7500 0.2373
Dy 0.9240 0.2500 0.2950
Au 0.9277 0.2500 0.9060
Te 0.5504 0.2500 0.9188
Dy 0.4240 0.2500 0.2050
Te 0.6595 0.7500 0.6137
Au 0.0723 0.7500 0.0940
Dy 0.7109 0.2500 0.4974
Te 0.8405 0.2500 0.1137
Te 0.3371 0.2500 0.7373
Dy 0.5760 0.7500 0.7950
Dy 0.0760 0.7500 0.7050
Te 0.4496 0.7500 0.0812
Au 0.4277 0.2500 0.5940
Te 0.0504 0.2500 0.5812
Te 0.1595 0.7500 0.8863
Au 0.5723 0.7500 0.4060
Dy 0.7891 0.7500 0.9974
Dy 0.2109 0.2500 0.0027
Te 0.6629 0.7500 0.2627
Te 0.8371 0.2500 0.7627

***

(ii)
Density functional theory data (PBE-GGA) for an optimized crystal structure of Dy2Te3Au.

## Properties
Magnetization in μB per formula unit: 0.0

Lattice parameters (Å, degrees): 10.8053 4.1026 14.8328 90.00 90.00 90.00
Sites, in units of the cell vectors:
Te 0.5426 0.2500 0.9021
Te 0.9574 0.7500 0.4021
Au 0.2452 0.2500 0.7222
Te 0.9410 0.2500 0.9041
Dy 0.2413 0.7500 0.5303
Te 0.0426 0.2500 0.5979
Te 0.0590 0.7500 0.0959
Te 0.7586 0.2500 0.1358
Dy 0.9911 0.7500 0.7507
Te 0.5590 0.7500 0.4041
Dy 0.5089 0.2500 0.2507
Dy 0.7587 0.2500 0.4697
Dy 0.0089 0.2500 0.2493
Au 0.7548 0.7500 0.2778
Dy 0.4911 0.7500 0.7493
Te 0.2586 0.2500 0.3642
Te 0.4410 0.2500 0.5959
Dy 0.2587 0.2500 0.0303
Te 0.4574 0.7500 0.0979
Te 0.7414 0.7500 0.6358
Dy 0.7413 0.7500 0.9697
Au 0.7452 0.2500 0.7778
Te 0.2414 0.7500 0.8642
Au 0.2548 0.7500 0.2222

***

Quick one: most stable of them? (i)

***

(i)
Density functional theory data (PBE-GGA) for an optimized crystal structure of GdErAu.

## Properties
Magnetization in μB per formula unit: 0.0

Lattice parameters (Å, degrees): 4.8579 4.8579 4.8579 60.00 60.00 60.00
Sites, in units of the cell vectors:
Er 0.7500 0.7500 0.7500
Gd 0.0000 0.0000 0.0000
Au 0.2500 0.2500 0.2500

***

(ii)
Density functional theory data (PBE-GGA) for an optimized crystal structure of GdErAu.

## Properties
Magnetization in μB per formula unit: 0.0

Lattice parameters (Å, degrees): 7.0338 4.9565 8.9516 90.00 90.00 90.00
Sites, in units of the cell vectors:
Gd 0.1519 0.7500 0.4179
Gd 0.3481 0.2500 0.9179
Er 0.4881 0.2500 0.3232
Er 0.0119 0.7500 0.8232
Gd 0.6519 0.7500 0.0821
Er 0.5119 0.7500 0.6768
Er 0.9881 0.2500 0.1768
Au 0.7635 0.2500 0.9016
Au 0.2365 0.7500 0.0984
Au 0.2635 0.2500 0.5984
Gd 0.8481 0.2500 0.5821
Au 0.7365 0.7500 0.4016

***

Quick one: most stable of them? (ii)

***

(i)
Density functional theory data (PBE-GGA) for an optimized crystal structure of ErGeTe3Au.

## Properties
Magnetization in μB per formula unit: 0.0

Lattice parameters (Å, degrees): 12.4413 4.2010 13.1854 90.00 90.00 90.00
Sites, in units of the cell vectors:
Te 0.1430 0.5000 0.2115
Ge 0.5712 0.0000 0.7223
Er 0.1824 0.5000 0.4361
Ge 0.9288 0.0000 0.2223
Te 0.9239 0.5000 0.4174
Te 0.5761 0.5000 0.9174
Au 0.2852 0.0000 0.2532
Au 0.7148 0.5000 0.7468
Er 0.8176 0.0000 0.5639
Ge 0.0712 0.5000 0.7777
Au 0.7852 0.5000 0.2468
Te 0.0761 0.0000 0.5826
Te 0.1346 0.0000 0.9500
Te 0.4239 0.0000 0.0826
Au 0.2148 0.0000 0.7532
Te 0.3570 0.5000 0.7115
Te 0.8570 0.0000 0.7885
Ge 0.4288 0.5000 0.2777
Er 0.3176 0.5000 0.9361
Te 0.6430 0.0000 0.2885
Te 0.3654 0.0000 0.4500
Te 0.6346 0.5000 0.5500
Te 0.8654 0.5000 0.0500
Er 0.6824 0.0000 0.0639

***

(ii)
Density functional theory data (PBE-GGA) for an optimized crystal structure of ErGeTe3Au.

## Properties
Magnetization in μB per formula unit: 0.0

Lattice parameters (Å, degrees): 7.7986 7.7986 11.2466 90.00 90.00 30.74
Sites, in units of the cell vectors:
Ge 0.8264 0.8264 0.7500
Te 0.9091 0.9091 0.2500
Er 0.0000 0.0000 0.0000
Te 0.6476 0.6476 0.0511
Au 0.5340 0.5340 0.2500
Er 0.0000 0.0000 0.5000
Au 0.4660 0.4660 0.7500
Ge 0.1736 0.1736 0.2500
Te 0.0909 0.0909 0.7500
Te 0.6476 0.6476 0.4489
Te 0.3524 0.3524 0.9489
Te 0.3524 0.3524 0.5511

***

Quick one: most stable of them? (ii)

***

(i)
Density functional theory data (PBE-GGA) for an optimized crystal structure of HoErAu.

## Properties
Magnetization in μB per formula unit: 0.1

Lattice parameters (Å, degrees): 4.9039 4.9039 4.9039 60.00 60.00 60.00
Sites, in units of the cell vectors:
Au 0.0000 0.0000 0.0000
Er 0.2500 0.2500 0.2500
Ho 0.7500 0.7500 0.7500

***

(ii)
Density functional theory data (PBE-GGA) for an optimized crystal structure of HoErAu.

## Properties
Magnetization in μB per formula unit: 0.0

Lattice parameters (Å, degrees): 7.0597 4.9172 8.8424 90.00 90.00 90.00
Sites, in units of the cell vectors:
Er 0.5145 0.7500 0.6764
Ho 0.8515 0.2500 0.5799
Au 0.2418 0.7500 0.0996
Au 0.7418 0.7500 0.4004
Ho 0.3515 0.2500 0.9201
Er 0.4855 0.2500 0.3236
Au 0.2582 0.2500 0.5996
Ho 0.6485 0.7500 0.0799
Er 0.9855 0.2500 0.1764
Au 0.7582 0.2500 0.9004
Er 0.0145 0.7500 0.8236
Ho 0.1485 0.7500 0.4201

***

Quick one: most stable of them? (ii)

***

(i)
Density functional theory data (PBE-GGA) for an optimized crystal structure of LiErAu.

## Properties
Magnetization in μB per formula unit: 0.0

Lattice parameters (Å, degrees): 4.7033 4.7033 4.7033 60.00 60.00 60.00
Sites, in units of the cell vectors:
Au 0.2500 0.2500 0.2500
Er 0.0000 0.0000 0.0000
Li 0.7500 0.7500 0.7500

***

(ii)
Density functional theory data (PBE-GGA) for an optimized crystal structure of LiErAu.

## Properties
Magnetization in μB per formula unit: 0.0

Lattice parameters (Å, degrees): 4.4596 4.4596 4.4596 60.00 60.00 60.00
Sites, in units of the cell vectors:
Au 0.2500 0.2500 0.2500
Er 0.7500 0.7500 0.7500
Li 0.0000 0.0000 0.0000

***

(iii)
Density functional theory data (PBE-GGA) for an optimized crystal structure of LiErAu.

## Properties
Magnetization in μB per formula unit: 0.0

Lattice parameters (Å, degrees): 7.1687 4.0581 8.6152 90.00 90.00 90.00
Sites, in units of the cell vectors:
Au 0.2435 0.7500 0.1262
Er 0.9472 0.2500 0.1790
Er 0.4472 0.2500 0.3210
Au 0.2565 0.2500 0.6262
Li 0.6221 0.7500 0.0573
Li 0.1221 0.7500 0.4427
Au 0.7565 0.2500 0.8738
Au 0.7435 0.7500 0.3738
Er 0.0528 0.7500 0.8210
Er 0.5528 0.7500 0.6790
Li 0.3779 0.2500 0.9427
Li 0.8779 0.2500 0.5573

***

Quick one: most stable of them? (iii)